1.
# Li2Cu5Pd12 (PBE-GGA, relaxed)
data_Li2Cu5Pd12
_cell_length_a 12.595
_cell_length_b 8.108
_cell_length_c 5.581
_cell_angle_alpha 90.00
_cell_angle_beta 95.40
_cell_angle_gamma 90.00
_space_group_name_H-M_alt 'C 1 2/m 1'
_space_group_IT_number 12
loop_
_space_group_symop_operation_xyz
'x,y,z'
'-x,-y,-z'
'-x,y,-z'
'x,-y,z'
'x+1/2,y+1/2,z'
'-x+1/2,-y+1/2,-z'
'-x+1/2,y+1/2,-z'
'x+1/2,-y+1/2,z'
loop_
_atom_site_label
_atom_site_type_symbol
_atom_site_fract_x
_atom_site_fract_y
_atom_site_fract_z
Li1 Li 0.000 0.209 0.000
Cu1 Cu 0.000 0.000 0.500
Cu2 Cu 0.164 0.500 0.896
Cu3 Cu 0.240 0.000 0.490
Pd1 Pd 0.044 0.500 0.254
Pd2 Pd 0.101 0.269 0.602
Pd3 Pd 0.147 0.000 0.883
Pd4 Pd 0.196 0.252 0.195
# formation enthalpy at 0 K: -64.7 meV/atom
# size of the total moment: 0.00 μB/f.u.
# V: 283.7 Å³/f.u.


2.
# Li2CrTe (PBE-GGA, relaxed)
data_Li2CrTe
_cell_length_a 3.685
_cell_length_b 3.685
_cell_length_c 5.951
_cell_angle_alpha 90.00
_cell_angle_beta 90.00
_cell_angle_gamma 90.00
_space_group_name_H-M_alt 'P 4 m m'
_space_group_IT_number 99
loop_
_space_group_symop_operation_xyz
'x,y,z'
'-y,x,z'
'-x,-y,z'
'y,-x,z'
'-x,y,z'
'y,x,z'
'x,-y,z'
'-y,-x,z'
loop_
_atom_site_label
_atom_site_type_symbol
_atom_site_fract_x
_atom_site_fract_y
_atom_site_fract_z
Li1 Li 0.000 0.000 0.000
Li2 Li 0.500 0.500 0.250
Cr1 Cr 0.000 0.000 0.520
Te1 Te 0.500 0.500 0.730
# raw formation energy: -0.038 eV/atom
# size of the total moment: 4.05 μB/f.u.
# V: 80.8 Å³/f.u.